SiIr2W | GGA-PBE | relaxed

Lattice parameters (Å, degrees): 2.876 2.876 6.958 90.00 90.00 90.00
Space group P4mm (No. 99)
Unique sites:
Si 0.000 0.000 0.000 (multiplicity 1)
Ir 0.000 0.000 0.501 (multiplicity 1)
Ir 0.500 0.500 0.805 (multiplicity 1)
W 0.500 0.500 0.251 (multiplicity 1)

* crystal system: tetragonal
* D(E_F): 2.512 states/eV/f.u.
* ΔE_f (raw): -289 meV/atom



SiIrW2 | GGA-PBE | relaxed

Lattice parameters (Å, degrees): 6.202 6.202 6.202 90.00 90.00 90.00
Space group F-43m (No. 216)
Unique sites:
Si 0.000 0.000 0.000 (multiplicity 4)
Ir 0.250 0.250 0.750 (multiplicity 4)
W 0.000 0.000 0.500 (multiplicity 4)
W 0.250 0.250 0.250 (multiplicity 4)

* crystal system: cubic
* D(E_F): 3.378 states/eV/f.u.
* ΔE_f (raw): 114 meV/atom



SiIr2W | GGA-PBE | relaxed

Lattice parameters (Å, degrees): 2.817 4.524 4.592 90.00 90.00 90.00
Space group Pmmm (No. 47)
Unique sites:
Si 0.000 0.000 0.000 (multiplicity 1)
Ir 0.000 0.500 0.500 (multiplicity 1)
Ir 0.500 0.500 0.000 (multiplicity 1)
W 0.500 0.000 0.500 (multiplicity 1)

* crystal system: orthorhombic
* D(E_F): 2.521 states/eV/f.u.
* ΔE_f (raw): -34 meV/atom



SiIrW2 | GGA-PBE | relaxed

Lattice parameters (Å, degrees): 3.194 3.194 5.854 90.00 90.00 90.00
Space group P4mm (No. 99)
Unique sites:
Si 0.000 0.000 0.000 (multiplicity 1)
Ir 0.500 0.500 0.771 (multiplicity 1)
W 0.000 0.000 0.492 (multiplicity 1)
W 0.500 0.500 0.244 (multiplicity 1)

* crystal system: tetragonal
* D(E_F): 2.749 states/eV/f.u.
* ΔE_f (raw): -2 meV/atom